Entry P
Density functional theory data (GGA-PBEsol) for Sr2ZrPt after structural relaxation.

a b c (Å): 3.471 3.471 9.374
angles (deg): 90.00 90.00 90.00
Site moments in Bohr magnetons follow the coordinates.
Atoms (fractional coordinates):
Pt 0.500 0.500 0.000  0.04
Zr 0.500 0.500 0.500  0.61
Sr 0.000 0.000 0.196  0.02
Sr 0.000 0.000 0.804  0.02

## Properties
space group = P4/mmm (123)
magnetization = 1.3 Bohr magnetons per cell
crystal system = tetragonal

=====

Entry Q
Density functional theory data (GGA-PBEsol) for Sr2ZrPt after structural relaxation.

a b c (Å): 4.281 4.281 6.161
angles (deg): 110.33 110.33 90.00
Atoms (fractional coordinates):
Pt 0.000 0.000 0.000
Sr 0.750 0.250 0.500
Sr 0.250 0.750 0.500
Zr 0.500 0.500 0.000

## Properties
space group = I4/mmm (139)
magnetization = 0.0 Bohr magnetons per cell
crystal system = tetragonal

=====

Verdict on stability: entry P comes out on top.

=====

Entry P
Density functional theory data (GGA-PBEsol) for TaTcPt2 after structural relaxation.

a b c (Å): 2.727 4.890 4.890
angles (deg): 112.54 90.00 90.00
Atoms (fractional coordinates):
Tc 0.500 0.500 0.500
Ta 0.500 0.000 0.000
Pt 0.000 0.000 0.500
Pt 0.000 0.500 0.000

## Properties
space group = Cmmm (65)
magnetization = 0.0 Bohr magnetons per cell
crystal system = orthorhombic

=====

Entry Q
Density functional theory data (GGA-PBEsol) for TaTcPt2 after structural relaxation.

a b c (Å): 3.963 3.963 4.767
angles (deg): 114.56 114.56 90.00
Atoms (fractional coordinates):
Tc 0.250 0.750 0.500
Pt 0.500 0.500 0.000
Pt 0.750 0.250 0.500
Ta 0.000 0.000 0.000

## Properties
space group = I-4m2 (119)
magnetization = 0.0 Bohr magnetons per cell
crystal system = tetragonal

=====

Entry R
Density functional theory data (GGA-PBEsol) for TaTcPt2 after structural relaxation.

a b c (Å): 3.839 3.839 4.897
angles (deg): 113.08 113.08 90.00
Atoms (fractional coordinates):
Pt 0.750 0.250 0.500
Pt 0.250 0.750 0.500
Ta 0.000 0.000 0.000
Tc 0.500 0.500 0.000

## Properties
space group = I4/mmm (139)
magnetization = 0.0 Bohr magnetons per cell
crystal system = tetragonal

=====

Verdict on stability: entry R comes out on top.

=====

Entry P
Density functional theory data (GGA-PBEsol) for TaTc3Pt after structural relaxation.

a b c (Å): 4.573 4.573 4.573
angles (deg): 90.00 90.00 90.00
Atoms (fractional coordinates):
Pt 0.500 0.500 0.500
Tc 0.000 0.000 0.500
Tc 0.000 0.500 0.000
Tc 0.500 0.000 0.000
Ta 0.000 0.000 0.000

## Properties
space group = Pm-3m (221)
magnetization = 0.0 Bohr magnetons per cell
crystal system = cubic

=====

Entry Q
Density functional theory data (GGA-PBEsol) for TaTc3Pt after structural relaxation.

a b c (Å): 4.594 4.594 4.594
angles (deg): 90.00 90.00 90.00
Atoms (fractional coordinates):
Pt 0.000 0.000 0.000
Tc 0.500 0.000 0.000
Tc 0.000 0.500 0.000
Tc 0.000 0.000 0.500
Ta 0.500 0.500 0.500

## Properties
space group = Pm-3m (221)
magnetization = 0.0 Bohr magnetons per cell
crystal system = cubic

=====

Verdict on stability: entry P comes out on top.

=====

Entry P
Density functional theory data (GGA-PBEsol) for TaTl2Pt after structural relaxation.

a b c (Å): 4.143 4.143 5.357
angles (deg): 112.75 112.75 90.00
Atoms (fractional coordinates):
Ta 0.250 0.750 0.500
Tl 0.000 0.000 0.000
Tl 0.750 0.250 0.500
Pt 0.500 0.500 0.000

## Properties
space group = I-4m2 (119)
magnetization = 0.0 Bohr magnetons per cell
crystal system = tetragonal

=====

Entry Q
Density functional theory data (GGA-PBEsol) for TaTl2Pt after structural relaxation.

a b c (Å): 3.111 3.111 9.966
angles (deg): 81.02 81.02 60.00
Atoms (fractional coordinates):
Tl 0.994 0.994 0.019
Tl 0.758 0.758 0.726
Ta 0.241 0.241 0.277
Pt 0.507 0.507 0.478

## Properties
space group = R3m (160)
magnetization = 0.0 Bohr magnetons per cell
crystal system = trigonal

=====

Entry R
Density functional theory data (GGA-PBEsol) for TaTl2Pt after structural relaxation.

a b c (Å): 4.112 4.112 5.488
angles (deg): 112.00 112.00 90.00
Atoms (fractional coordinates):
Tl 0.750 0.250 0.500
Tl 0.250 0.750 0.500
Pt 0.500 0.500 0.000
Ta 0.000 0.000 0.000

## Properties
space group = I4/mmm (139)
magnetization = 0.0 Bohr magnetons per cell
crystal system = tetragonal

=====

Entry S
Density functional theory data (GGA-PBEsol) for TaTl2Pt after structural relaxation.

a b c (Å): 4.774 4.774 4.774
angles (deg): 60.00 60.00 60.00
Site moments in Bohr magnetons follow the coordinates.
Atoms (fractional coordinates):
Tl 0.750 0.750 0.750  0.03
Tl 0.250 0.250 0.250  0.03
Pt 0.000 0.000 0.000  0.01
Ta 0.500 0.500 0.500  0.79

## Properties
space group = Fm-3m (225)
magnetization = 1.2 Bohr magnetons per cell
crystal system = cubic

=====

Verdict on stability: entry Q comes out on top.

=====

Entry P
Density functional theory data (GGA-PBEsol) for Tc2Pt after structural relaxation.

a b c (Å): 2.665 3.907 4.725
angles (deg): 114.42 106.38 90.00
Atoms (fractional coordinates):
Tc 0.672 0.672 0.345
Tc 0.328 0.328 0.655
Pt 0.000 0.000 0.000

## Properties
space group = Immm (71)
magnetization = 0.0 Bohr magnetons per cell
crystal system = orthorhombic

=====

Entry Q
Density functional theory data (GGA-PBEsol) for Tc2Pt after structural relaxation.

a b c (Å): 5.014 5.014 5.014
angles (deg): 60.00 60.00 60.00
Atoms (fractional coordinates):
Pt 0.250 0.250 0.250
Pt 0.000 0.000 0.000
Tc 0.125 0.625 0.625
Tc 0.625 0.625 0.625
Tc 0.625 0.625 0.125
Tc 0.625 0.125 0.625

## Properties
space group = Fd-3m (227)
magnetization = 0.0 Bohr magnetons per cell
crystal system = cubic

=====

Entry R
Density functional theory data (GGA-PBEsol) for Tc2Pt after structural relaxation.

a b c (Å): 2.709 5.173 6.477
angles (deg): 103.53 90.00 105.18
Atoms (fractional coordinates):
Tc 0.645 0.290 0.524
Tc 0.305 0.610 0.854
Tc 0.355 0.710 0.476
Tc 0.695 0.390 0.146
Pt 0.970 0.940 0.197
Pt 0.030 0.060 0.803

## Properties
space group = C2/m (12)
magnetization = 0.0 Bohr magnetons per cell
crystal system = monoclinic

=====

Entry S
Density functional theory data (GGA-PBEsol) for Tc2Pt after structural relaxation.

a b c (Å): 2.719 4.360 7.274
angles (deg): 90.00 100.77 90.00
Atoms (fractional coordinates):
Tc 0.221 0.750 0.442
Tc 0.556 0.750 0.112
Tc 0.444 0.250 0.888
Tc 0.779 0.250 0.558
Pt 0.111 0.250 0.221
Pt 0.889 0.750 0.779

## Properties
space group = Cmcm (63)
magnetization = 0.0 Bohr magnetons per cell
crystal system = orthorhombic

=====

Verdict on stability: entry S comes out on top.

=====

Entry P
Density functional theory data (GGA-PBEsol) for Tc5Pt after structural relaxation.

a b c (Å): 2.722 5.122 6.445
angles (deg): 103.24 90.00 105.39
Atoms (fractional coordinates):
Tc 0.056 0.113 0.610
Tc 0.387 0.775 0.283
Tc 0.722 0.445 0.943
Tc 0.668 0.335 0.337
Tc 0.333 0.666 0.660
Pt 0.000 0.000 0.000

## Properties
space group = Cm (8)
magnetization = 0.0 Bohr magnetons per cell
crystal system = monoclinic

=====

Entry Q
Density functional theory data (GGA-PBEsol) for Tc5Pt after structural relaxation.

a b c (Å): 4.316 4.743 4.743
angles (deg): 120.00 90.00 90.00
Atoms (fractional coordinates):
Pt 0.500 0.000 0.000
Tc 0.000 0.664 0.000
Tc 0.500 0.667 0.333
Tc 0.500 0.333 0.667
Tc 0.000 0.000 0.664
Tc 0.000 0.336 0.336

## Properties
space group = P-62m (189)
magnetization = 0.0 Bohr magnetons per cell
crystal system = hexagonal

=====

Verdict on stability: entry Q comes out on top.